(1)
This record from Alexandria via LeMat-Bulk describes a relaxed Zr2Ag2Hg3 crystal. The functional is PBE.

Lattice parameters (Å, degrees): 8.487 4.910 7.587 90.00 112.12 90.00
Space group C2/m (No. 12)
Inequivalent atoms, fractional coordinates:
Zr  0.217  0.000  0.150
Ag  0.072  0.000  0.718
Hg  0.000  0.500  0.000
Hg  0.139  0.500  0.417

As for the energy of formation: 25 meV/atom. Its uncorrected energy is -3.361 eV/atom. The calculation puts the total magnetic moment at 0.00 μB per cell.


(2)
This record from Alexandria via LeMat-Bulk describes a relaxed ZrAgHg2 crystal. The functional is PBE.

Lattice parameters (Å, degrees): 9.863 3.111 5.610 90.00 98.61 90.00
Space group Cm (No. 8)
Inequivalent atoms, fractional coordinates:
Zr  0.000  0.000  0.000
Ag  0.251  0.000  0.753
Hg  0.000  0.500  0.514
Hg  0.248  0.500  0.239

As for the energy of formation: 30 meV/atom. Its uncorrected energy is -2.971 eV/atom. The calculation puts the total magnetic moment at 0.00 μB per cell.